DyHF4: optimized geometry, PBE.

Calculated values
**V**: 13.8 Å³/atom
**Magnetic moment**: 0.00 μB/cell
**Energy relative to the lowest polymorph listed for this composition**: 0 meV/atom
**N(E_F)**: 0.000 states/eV per atom

Structure (CIF):
```
data_DyHF4
_symmetry_space_group_name_H-M 'P 1 21/m 1'
_symmetry_Int_Tables_number 11
_cell_length_a 5.251
_cell_length_b 3.960
_cell_length_c 8.361
_cell_angle_alpha 90.00
_cell_angle_beta 108.18
_cell_angle_gamma 90.00
loop_
_symmetry_equiv_pos_as_xyz
'x,y,z'
'-x,-y,-z'
'-x,y+1/2,-z'
'x,-y+1/2,z'
loop_
_atom_site_label
_atom_site_fract_x
_atom_site_fract_y
_atom_site_fract_z
Dy1 0.182 0.250 0.364
H1 0.421 0.750 0.844
F1 0.033 0.250 0.599
F2 0.200 0.750 0.840
F3 0.362 0.250 0.160
F4 0.435 0.750 0.401
```